Entry 1:
## ScMoW2 (GGA-PBE)

Data for ScMoW2 after structural relaxation.

Lattice parameters (Å, degrees): 4.5566 4.5566 4.5566 119.93 119.93 90.13
Fractional positions:
Mo (0.5000, 0.5000, 0.0000)
Sc (0.7500, 0.2500, 0.5000)
W (0.0000, 0.0000, 0.0000)
W (0.2500, 0.7500, 0.5000)

Results
ρ, g cm⁻³: 12.6
Calculated formation energy, eV per atom: 0.148
Polymorph energy (0 for the lowest one), eV per atom: 0.059
Size of the total moment, μB/cell: 0.000


Entry 2:
## Ac3Sn4Pt4 (GGA-PBE)

Data for Ac3Sn4Pt4 after structural relaxation.

Lattice parameters (Å, degrees): 4.7866 4.5841 13.6385 99.67 100.11 90.00
Fractional positions:
Ac (0.3479, 0.8479, 0.6958)
Ac (0.6521, 0.1521, 0.3042)
Ac (0.0000, 0.0000, 0.0000)
Sn (0.8015, 0.3015, 0.6029)
Sn (0.4462, 0.4462, 0.8924)
Sn (0.5538, 0.5538, 0.1076)
Sn (0.1985, 0.6985, 0.3971)
Pt (0.2514, 0.2514, 0.5029)
Pt (0.0977, 0.5977, 0.1954)
Pt (0.9023, 0.4023, 0.8046)
Pt (0.7486, 0.7486, 0.4971)

Results
ρ, g cm⁻³: 11.1
Calculated formation energy, eV per atom: -0.905
Polymorph energy (0 for the lowest one), eV per atom: 0.026
Size of the total moment, μB/cell: 0.000


Entry 3:
## Ac3Ag4Ge4 (GGA-PBE)

Data for Ac3Ag4Ge4 after structural relaxation.

Lattice parameters (Å, degrees): 4.6681 7.3729 8.8825 114.52 105.23 90.00
Fractional positions:
Ac (0.1317, 0.1317, 0.2634)
Ac (0.8683, 0.8683, 0.7366)
Ac (0.0000, 0.5000, 0.0000)
Ag (0.3351, 0.1451, 0.6701)
Ag (0.6649, 0.4750, 0.3299)
Ag (0.6649, 0.8549, 0.3299)
Ag (0.3351, 0.5250, 0.6701)
Ge (0.2173, 0.7173, 0.4346)
Ge (0.7827, 0.2827, 0.5654)
Ge (0.5000, 0.8215, 0.0000)
Ge (0.5000, 0.1785, 0.0000)

Results
ρ, g cm⁻³: 8.7
Calculated formation energy, eV per atom: -0.513
Polymorph energy (0 for the lowest one), eV per atom: 0.000
Size of the total moment, μB/cell: 0.000


Entry 4:
## NpGaRu (GGA-PBE)

Data for NpGaRu after structural relaxation.

Lattice parameters (Å, degrees): 5.2080 5.3136 5.3136 84.64 60.66 60.66
Last column: magnetic moment on the atom in μB.
Fractional positions:
Ga (0.0000, 0.8293, 0.1707)  0.03
Ga (0.0000, 0.1707, 0.8293)  0.03
Np (0.5000, 0.6770, 0.3230)  3.19
Np (0.5000, 0.3230, 0.6770)  3.19
Ru (0.7451, 0.7549, 0.7549)  -0.39
Ru (0.2549, 0.2451, 0.2451)  -0.39

Results
ρ, g cm⁻³: 12.4
Calculated formation energy, eV per atom: 0.095
Size of the total moment, μB/cell: 5.859


Entry 5:
## LaNi2Pb (GGA-PBE)

Data for LaNi2Pb after structural relaxation.

Lattice parameters (Å, degrees): 4.7623 4.7623 3.5377 89.83 89.83 89.98
Fractional positions:
La (0.0000, 0.5000, 0.5000)
Ni (0.0000, 0.0000, 0.0000)
Ni (0.5000, 0.5000, 0.0000)
Pb (0.5000, 0.0000, 0.5000)

Results
ρ, g cm⁻³: 9.6
Calculated formation energy, eV per atom: -0.082
Size of the total moment, μB/cell: 0.000


Entry 6:
## Hf2NiHIr (GGA-PBE)

Data for Hf2NiHIr after structural relaxation.

Lattice parameters (Å, degrees): 4.5019 4.5019 3.4247 90.00 90.00 90.00
Fractional positions:
Ni (0.0000, 0.0000, 0.5000)
Ir (0.5000, 0.5000, 0.5000)
Hf (0.0000, 0.5000, 0.0000)
Hf (0.5000, 0.0000, 0.0000)
H (0.0000, 0.0000, 0.0000)

Results
ρ, g cm⁻³: 14.6
Polymorph energy (0 for the lowest one), eV per atom: 0.000
Size of the total moment, μB/cell: 0.000


Entry 7:
## SrCuTe2 (GGA-PBE)

Data for SrCuTe2 after structural relaxation.

Lattice parameters (Å, degrees): 8.8961 8.8961 8.8961 31.58 31.58 31.58
Fractional positions:
Sr (0.5000, 0.5000, 0.5000)
Te (0.9048, 0.9048, 0.9048)
Te (0.0952, 0.0952, 0.0952)
Cu (0.0000, 0.0000, 0.0000)

Results
ρ, g cm⁻³: 3.9
ΔE_f (raw), eV per atom: -0.52
Size of the total moment, μB/cell: 0.000


Entry 8:
## CrBiTe2 (GGA-PBE)

Data for CrBiTe2 after structural relaxation.

Lattice parameters (Å, degrees): 6.8337 6.8337 7.4575 62.73 62.73 90.00
Fractional positions:
Cr (0.5000, 0.5000, 0.0000)
Cr (0.2500, 0.7500, 0.5000)
Te (0.5462, 0.1250, 0.2500)
Te (0.2038, 0.6250, 0.2500)
Te (0.3750, 0.4538, 0.7500)
Te (0.8750, 0.7962, 0.7500)
Bi (0.0000, 0.0000, 0.0000)
Bi (0.7500, 0.2500, 0.5000)

Results
ρ, g cm⁻³: 6.5
ΔE_f (raw), eV per atom: 0.45
Size of the total moment, μB/cell: 0.000


Entry 9:
## MgVP2S (GGA-PBE)

Data for MgVP2S after structural relaxation.

Lattice parameters (Å, degrees): 4.6310 4.6310 4.4881 90.00 90.00 90.00
Fractional positions:
P (0.0000, 0.5000, 0.0000)
P (0.5000, 0.0000, 0.0000)
S (0.0000, 0.0000, 0.5000)
Mg (0.5000, 0.5000, 0.5000)
V (0.0000, 0.0000, 0.0000)

Results
ρ, g cm⁻³: 2.9
ΔE_f (raw), eV per atom: 0.01
Polymorph energy (0 for the lowest one), eV per atom: 0.000
Size of the total moment, μB/cell: 0.000


Entry 10:
## BeFe2PdC (GGA-PBE)

Data for BeFe2PdC after structural relaxation.

Lattice parameters (Å, degrees): 3.8478 3.8478 3.6612 90.00 90.00 90.00
Last column: magnetic moment on the atom in μB.
Fractional positions:
Be (0.0000, 0.0000, 0.5000)  -0.01
C (0.0000, 0.0000, 0.0000)  -0.07
Fe (0.0000, 0.5000, 0.0000)  2.35
Fe (0.5000, 0.0000, 0.0000)  2.35
Pd (0.5000, 0.5000, 0.5000)  0.25

Results
ρ, g cm⁻³: 7.3
Calculated formation energy, eV per atom: 0.071
Size of the total moment, μB/cell: 4.810


Entry 11:
## Fe2ReSe (GGA-PBE)

Data for Fe2ReSe after structural relaxation.

Lattice parameters (Å, degrees): 4.9750 4.9750 4.9750 145.25 129.70 62.58
Last column: magnetic moment on the atom in μB.
Fractional positions:
Fe (0.0140, 0.0140, 0.0000)  1.86
Fe (0.7592, 0.2592, 0.5000)  1.96
Re (0.4838, 0.4838, 0.0000)  -0.02
Se (0.2430, 0.7430, 0.5000)  -0.02

Results
ρ, g cm⁻³: 11.7
ΔE_f (raw), eV per atom: 0.45
Size of the total moment, μB/cell: 3.732